V3CoP (GGA-PBE, relaxed); formation energy = 706 meV/atom; DOS at the Fermi energy = 6.18 states/eV per cell; offset from the most stable computed form = 201 meV per atom; theoretical density = 5.2 g/cm3
1.0
4.262 0.000 0.000
0.000 4.262 0.000
0.000 0.000 4.262
V Co P
3 1 1
direct
0.000 0.000 0.500
0.000 0.500 0.000
0.500 0.000 0.000
0.000 0.000 0.000
0.500 0.500 0.500